Record 1
Here is a relaxed Be2GaTc crystal from Alexandria. Energies are from GGA-PBE.

Cell: 3.7343 3.7343 3.2483 Å, 90.00 90.00 90.00°
Last column: nearest neighbours and their distance in Å.
Space group P4/mmm (No. 123)
Asymmetric unit:
Be1 0.0000 0.5000 0.0000 x2  4 Tc 2.47, 4 Ga 2.47, 4 Be 2.64
Ga1 0.0000 0.0000 0.5000 x1  8 Be 2.47, 4 Tc 2.64
Tc1 0.5000 0.5000 0.5000 x1  8 Be 2.47, 4 Ga 2.64

Its density of states at the Fermi level is 0.58 states/eV/atom. As for the energy of formation: -0.15 eV/atom. As for the spin magnetization: 0.00 μB per cell. The calculation puts the mass density at 6.81 Mg/m³.

***

Record 2
Here is a relaxed Be2GaTc2 crystal from Alexandria. Energies are from GGA-PBE.

Cell: 5.9955 5.9955 3.1925 Å, 90.00 90.00 90.00°
Last column: nearest neighbours and their distance in Å.
Space group P4/mbm (No. 127)
Asymmetric unit:
Be1 0.1194 0.3806 0.0000 x4  1 Be 2.02
Ga1 0.0000 0.0000 0.0000 x2  4 Be 2.39
Tc1 0.1751 0.6751 0.5000 x4  6 Be 2.36-2.40

The value obtained for the offset from the most stable computed form is 0 meV/atom. Its density of states at the Fermi level is 0.68 states/eV/atom. As for the energy of formation: -0.31 eV/atom. As for the spin magnetization: 0.00 μB per cell. The calculation puts the mass density at 8.21 Mg/m³.

***

Record 3
Here is a relaxed Be2Ga2Tc crystal from Alexandria. Energies are from GGA-PBE.

Cell: 6.1538 6.1538 3.2406 Å, 90.00 90.00 90.00°
Last column: nearest neighbours and their distance in Å.
Space group P4/mbm (No. 127)
Asymmetric unit:
Be1 0.1290 0.3710 0.0000 x4  1 Be 2.25, 6 Ga 2.40-2.45, 2 Tc 2.42
Ga1 0.1678 0.6678 0.5000 x4  6 Be 2.40-2.45
Tc1 0.0000 0.0000 0.0000 x2  4 Be 2.42

Its density of states at the Fermi level is 0.39 states/eV/atom. As for the energy of formation: 0.09 eV/atom. As for the spin magnetization: 0.00 μB per cell. The calculation puts the mass density at 6.91 Mg/m³.

***

Record 4
Here is a relaxed Be2GaTc crystal from Alexandria. Energies are from GGA-PBE.

Cell: 6.2794 6.2794 4.9667 Å, 90.00 90.00 90.00°
Last column: nearest neighbours and their distance in Å.
Space group I-42d (No. 122)
Asymmetric unit:
Be1 0.2458 0.7500 0.1250 x8  2 Ga 2.29, 2 Tc 2.32, 2 Be 2.48
Ga1 0.0000 0.0000 0.0000 x4  4 Be 2.29, 2 Tc 2.48
Tc1 0.0000 0.0000 0.5000 x4  4 Be 2.32, 2 Ga 2.48

Its density of states at the Fermi level is 0.00 states/eV/atom. As for the energy of formation: 0.24 eV/atom. As for the spin magnetization: 0.00 μB per cell. The calculation puts the mass density at 6.30 Mg/m³.

***

Record 5
Here is a relaxed Be2GaTc2 crystal from Alexandria. Energies are from GGA-PBE.

Cell: 6.4684 6.4684 3.0920 Å, 90.00 90.00 90.00°
Last column: nearest neighbours and their distance in Å.
Space group P4/mbm (No. 127)
Asymmetric unit:
Be1 0.1588 0.3412 0.0000 x4  6 Tc 2.44-2.45
Ga1 0.0000 0.0000 0.5000 x2  4 Tc 2.52
Tc1 0.1346 0.6346 0.5000 x4  6 Be 2.44-2.45, 1 Tc 2.46, 2 Ga 2.52

The value obtained for the offset from the most stable computed form is 365 meV/atom. Its density of states at the Fermi level is 0.62 states/eV/atom. As for the energy of formation: 0.06 eV/atom. As for the spin magnetization: 0.00 μB per cell. The calculation puts the mass density at 7.28 Mg/m³.

***

Record 6
Here is a relaxed BeGa3Tc crystal from Alexandria. Energies are from GGA-PBE.

Cell: 4.8110 4.8110 4.8110 Å, 90.00 90.00 90.00°
Last column: nearest neighbours and their distance in Å.
Space group Pm-3m (No. 221)
Asymmetric unit:
Be1 0.0000 0.0000 0.0000 x1  12 Ga 3.40
Ga1 0.0000 0.5000 0.5000 x3  2 Tc 2.41
Tc1 0.5000 0.5000 0.5000 x1  6 Ga 2.41

The value obtained for the offset from the most stable computed form is 0 meV/atom. Its density of states at the Fermi level is 0.56 states/eV/atom. As for the energy of formation: 0.68 eV/atom. As for the spin magnetization: 0.00 μB per cell. The calculation puts the mass density at 4.72 Mg/m³.

***

Record 7
Here is a relaxed Be17GaTc crystal from Alexandria. Energies are from GGA-PBE.

Cell: 7.2410 7.2410 10.9781 Å, 90.00 90.00 120.00°
Last column: nearest neighbours and their distance in Å.
Space group R3m (No. 160, hexagonal axes)
Asymmetric unit:
Be1 0.0000 0.0000 0.0621 x3  7 Be 2.19-2.29
Be2 0.0000 0.0000 0.2618 x3  7 Be 2.19-2.20
Be3 0.9995 0.3086 0.1610 x18  8 Be 2.11-2.25
Be4 0.0048 0.5024 0.3178 x9  9 Be 2.10-2.29
Be5 0.0064 0.5032 0.0000 x9  9 Be 2.05-2.25
Be6 0.1696 0.3392 0.9989 x9  10 Be 2.05-2.24
Ga1 0.0000 0.0000 0.7656 x3  12 Be 2.39-2.60
Tc1 0.0000 0.0000 0.4897 x3  16 Be 2.50-2.72

Its density of states at the Fermi level is 0.15 states/eV/atom. As for the energy of formation: -0.04 eV/atom. As for the spin magnetization: 0.00 μB per cell. The calculation puts the mass density at 3.21 Mg/m³.

***

Record 8
Here is a relaxed BeGa2Tc2 crystal from Alexandria. Energies are from GGA-PBE.

Cell: 6.3192 6.3192 3.4868 Å, 90.00 90.00 90.00°
Last column: nearest neighbours and their distance in Å.
Space group P4/mbm (No. 127)
Asymmetric unit:
Be1 0.0000 0.0000 0.0000 x2  4 Ga 2.45
Ga1 0.1373 0.3627 0.0000 x4  2 Be 2.45, 1 Ga 2.45, 6 Tc 2.46-2.61
Tc1 0.1688 0.6688 0.5000 x4  6 Ga 2.46-2.61

The value obtained for the offset from the most stable computed form is 114 meV/atom. Its density of states at the Fermi level is 0.01 states/eV/atom. As for the energy of formation: 0.06 eV/atom. As for the spin magnetization: 0.00 μB per cell. The calculation puts the mass density at 8.22 Mg/m³.